(1)
Here is crystalline LiHfCo2 at its relaxed geometry from Alexandria via LeMat-Bulk. Energies are from PBE.

Geometry as POSCAR:
```
LiHfCo2
1.0
3.319 0.000 0.000
0.000 3.994 0.000
0.000 0.000 3.994
Hf Li Co
1 1 2
Direct
0.500 0.000 0.000
0.500 0.500 0.500
0.000 0.500 0.000
0.000 0.000 0.500
```

## Properties
DFT total energy ... -6.58 eV/atom
Symmetry ... No. 123
Formation energy ... -0.0605 eV/atom


(2)
Here is crystalline Li2HfCo2 at its relaxed geometry from Alexandria via LeMat-Bulk. Energies are from PBE.

Geometry as POSCAR:
```
Li2HfCo2
1.0
3.383 0.000 0.000
0.000 3.383 0.000
1.691 1.691 6.294
Li Hf Co
2 1 2
Direct
0.750 0.250 0.500
0.250 0.750 0.500
0.000 0.000 0.000
0.595 0.595 0.811
0.405 0.405 0.189
```

## Properties
DFT total energy ... -5.45 eV/atom
Symmetry ... No. 139
Formation energy ... 0.1443 eV/atom


(3)
Here is crystalline LiHf3Co at its relaxed geometry from Alexandria via LeMat-Bulk. Energies are from PBE.

Geometry as POSCAR:
```
LiHf3Co
1.0
4.820 0.000 0.000
0.000 4.820 0.000
0.000 0.000 4.820
Hf Co Li
3 1 1
Direct
0.500 0.000 0.000
0.000 0.500 0.000
0.000 0.000 0.500
0.000 0.000 0.000
0.500 0.500 0.500
```

## Properties
DFT total energy ... -7.45 eV/atom
Symmetry ... No. 221
Formation energy ... 0.3306 eV/atom
Excess energy over the best structure of this formula in the dataset ... 0 meV/atom


(4)
Here is crystalline LiHf2Co2 at its relaxed geometry from Alexandria via LeMat-Bulk. Energies are from PBE.

Geometry as POSCAR:
```
LiHf2Co2
1.0
7.457 0.000 0.000
0.000 7.457 0.000
0.000 0.000 2.956
Co Hf Li
4 4 2
Direct
0.141 0.641 0.500
0.641 0.859 0.500
0.859 0.359 0.500
0.359 0.141 0.500
0.850 0.650 0.000
0.350 0.850 0.000
0.150 0.350 0.000
0.650 0.150 0.000
0.000 0.000 0.000
0.500 0.500 0.000
```

## Properties
DFT total energy ... -7.29 eV/atom
Symmetry ... No. 127
Formation energy ... -0.0875 eV/atom
Excess energy over the best structure of this formula in the dataset ... 108 meV/atom


(5)
Here is crystalline LiHfCo2 at its relaxed geometry from Alexandria via LeMat-Bulk. Energies are from PBE.

Geometry as POSCAR:
```
LiHfCo2
1.0
6.514 0.000 0.000
0.000 6.514 0.000
3.257 3.257 2.600
Co Li Hf
4 2 2
Direct
0.601 0.125 0.250
0.375 0.399 0.750
0.875 0.851 0.750
0.149 0.625 0.250
0.250 0.750 0.500
0.500 0.500 0.000
0.750 0.250 0.500
0.000 0.000 0.000
```

## Properties
DFT total energy ... -6.22 eV/atom
Symmetry ... No. 122
Formation energy ... 0.2951 eV/atom


(6)
Here is crystalline LiHf2Co2 at its relaxed geometry from Alexandria via LeMat-Bulk. Energies are from PBE.

Geometry as POSCAR:
```
LiHf2Co2
1.0
7.192 0.000 0.000
0.000 7.192 0.000
0.000 0.000 3.118
Co Hf Li
4 4 2
Direct
0.636 0.136 0.000
0.364 0.864 0.000
0.136 0.364 0.000
0.864 0.636 0.000
0.842 0.342 0.500
0.658 0.842 0.500
0.158 0.658 0.500
0.342 0.158 0.500
0.500 0.500 0.000
0.000 0.000 0.000
```

## Properties
DFT total energy ... -7.40 eV/atom
Symmetry ... No. 127
Formation energy ... -0.1952 eV/atom
Excess energy over the best structure of this formula in the dataset ... 0 meV/atom